Below is crystalline LiReN2 at its relaxed geometry, with properties calculated at the PBE level.

The structure belongs to space group P4/mmm (No. 123); the cell edges are 2.6224, 2.6224 and 5.4959 Å and the angles 90.00°, 90.00° and 90.00°. The inequivalent atoms are Li at (0.0000, 0.0000, 0.0000), Re at (0.0000, 0.0000, 0.5000) and N at (0.5000, 0.5000, 0.2832).

The calculation puts the formation energy (no corrections) at 123.4 meV/atom. As for the calculated density: 9.72 g cm⁻³. The relative energy among the computed polymorphs is 8.40 kcal/mol of atoms. As for the raw total energy: -7.63 eV/atom.



Below is crystalline LiRe3N at its relaxed geometry, with properties calculated at the PBE level.

The structure belongs to space group Pm-3m (No. 221); the cell edges are 4.0943, 4.0943 and 4.0943 Å and the angles 90.00°, 90.00° and 90.00°. The inequivalent atoms are Li at (0.0000, 0.0000, 0.0000), Re at (0.0000, 0.0000, 0.5000) and N at (0.5000, 0.5000, 0.5000).

The calculation puts the formation energy (no corrections) at 2658.0 meV/atom. As for the calculated density: 14.02 g cm⁻³. The relative energy among the computed polymorphs is 52.06 kcal/mol of atoms. As for the raw total energy: -6.86 eV/atom.



Below is crystalline LiReN2 at its relaxed geometry, with properties calculated at the PBE level.

The structure belongs to space group Fm-3m (No. 225); the cell edges are 5.1048, 5.1048 and 5.1048 Å and the angles 90.00°, 90.00° and 90.00°. The inequivalent atoms are Li at (0.0000, 0.0000, 0.0000), Re at (0.0000, 0.0000, 0.5000) and N at (0.2500, 0.2500, 0.2500).

The calculation puts the formation energy (no corrections) at 403.9 meV/atom. As for the calculated density: 11.04 g cm⁻³. The relative energy among the computed polymorphs is 14.87 kcal/mol of atoms. As for the raw total energy: -7.35 eV/atom.



Below is crystalline LiReN3 at its relaxed geometry, with properties calculated at the PBE level.

The structure belongs to space group Pm-3m (No. 221); the cell edges are 3.4527, 3.4527 and 3.4527 Å and the angles 90.00°, 90.00° and 90.00°. The inequivalent atoms are Li at (0.0000, 0.0000, 0.0000), Re at (0.5000, 0.5000, 0.5000) and N at (0.0000, 0.0000, 0.5000).

The calculation puts the formation energy (no corrections) at 2062.8 meV/atom. As for the calculated density: 9.49 g cm⁻³. As for the raw total energy: -5.80 eV/atom.



Below is crystalline LiReN2 at its relaxed geometry, with properties calculated at the PBE level.

The structure belongs to space group R-3m (No. 166, hexagonal axes); the cell edges are 2.9650, 2.9650 and 18.1535 Å and the angles 90.00°, 90.00° and 120.00°. The inequivalent atoms are Li at (0.0000, 0.0000, 0.0000), Re at (0.0000, 0.0000, 0.5000) and N at (0.0000, 0.0000, 0.1021).

The calculation puts the formation energy (no corrections) at 6.8 meV/atom. As for the calculated density: 7.97 g cm⁻³. The relative energy among the computed polymorphs is 5.71 kcal/mol of atoms. As for the raw total energy: -7.75 eV/atom.



Below is crystalline Li2ReN at its relaxed geometry, with properties calculated at the PBE level.

The structure belongs to space group I-42d (No. 122); the cell edges are 6.9367, 6.9367 and 3.8949 Å and the angles 90.00°, 90.00° and 90.00°. The inequivalent atoms are Li at (0.1544, 0.7500, 0.1250), Re at (0.0000, 0.0000, 0.5000) and N at (0.0000, 0.0000, 0.0000).

The calculation puts the formation energy (no corrections) at 190.5 meV/atom. As for the calculated density: 7.59 g cm⁻³. As for the raw total energy: -5.96 eV/atom.



Below is crystalline LiReN2 at its relaxed geometry, with properties calculated at the PBE level.

The structure belongs to space group C2/c (No. 15); the cell edges are 6.0267, 11.8865 and 5.0581 Å and the angles 90.00°, 124.18° and 90.00°. The inequivalent atoms are Li at (0.0000, 0.0513, 0.2500), Li at (0.0000, 0.1684, 0.7500), Re at (0.0000, 0.3019, 0.2500), Re at (0.0000, 0.4142, 0.7500), N at (0.2098, 0.4418, 0.2292) and N at (0.2422, 0.1887, 0.2389).

The calculation puts the formation energy (no corrections) at -241.0 meV/atom. As for the calculated density: 9.80 g cm⁻³. The relative energy among the computed polymorphs is 0.00 kcal/mol of atoms. As for the raw total energy: -7.99 eV/atom.



Below is crystalline LiReN at its relaxed geometry, with properties calculated at the PBE level.

The structure belongs to space group P-3m1 (No. 164); the cell edges are 3.5751, 3.5751 and 9.3685 Å and the angles 90.00°, 90.00° and 120.00°. The inequivalent atoms are Li at (0.3333, 0.6667, 0.1373), Re at (0.3333, 0.6667, 0.4299) and N at (0.3333, 0.6667, 0.6485).

The calculation puts the formation energy (no corrections) at 534.7 meV/atom. As for the calculated density: 6.63 g cm⁻³. As for the raw total energy: -7.03 eV/atom.